Record 1
Here is crystalline AcSe3O12 at its relaxed geometry from Alexandria via LeMat-Bulk. Energies are from GGA-PBE.

Calculated values
Symmetry = No. 161
Formation energy without anion corrections = -17.53 kcal/mol of atoms
Spin magnetization = 6.1 Bohr magnetons per cell
Energy = -5.39 eV per atom

a = 10.755 Å, b = 10.755 Å, c = 10.755 Å
α = 50.32°, β = 50.32°, γ = 50.32°
Atoms (fractional coordinates):
Ac 0.000 0.000 0.000
Ac 0.500 0.500 0.500
Se 0.095 0.370 0.724
Se 0.224 0.870 0.595
Se 0.370 0.724 0.095
Se 0.595 0.224 0.870
Se 0.724 0.095 0.370
Se 0.870 0.595 0.224
O 0.050 0.478 0.100
O 0.100 0.050 0.478
O 0.156 0.725 0.659
O 0.159 0.225 0.656
O 0.177 0.887 0.765
O 0.225 0.656 0.159
O 0.265 0.387 0.677
O 0.297 0.938 0.977
O 0.387 0.677 0.265
O 0.438 0.797 0.477
O 0.477 0.438 0.797
O 0.478 0.100 0.050
O 0.550 0.600 0.978
O 0.600 0.978 0.550
O 0.656 0.159 0.225
O 0.659 0.156 0.725
O 0.677 0.265 0.387
O 0.725 0.659 0.156
O 0.765 0.177 0.887
O 0.797 0.477 0.438
O 0.887 0.765 0.177
O 0.938 0.977 0.297
O 0.977 0.297 0.938
O 0.978 0.550 0.600

Record 2
Here is crystalline TbAgGeAu at its relaxed geometry from Alexandria via LeMat-Bulk. Energies are from GGA-PBE.

Calculated values
Symmetry = No. 216
Calculated formation energy = -1.87 eV/f.u.
Spin magnetization = 0.0 Bohr magnetons per cell
Energy = -4.31 eV per atom

a = 4.866 Å, b = 4.866 Å, c = 4.866 Å
α = 60.00°, β = 60.00°, γ = 60.00°
Atoms (fractional coordinates):
Tb 0.000 0.000 0.000
Ag 0.500 0.500 0.500
Ge 0.750 0.750 0.750
Au 0.250 0.250 0.250

Q: Number 2 is which compound?
A: TbAgGeAu